First-principles (GGA-PBE) data for CdTcOF2 after structural relaxation, as listed in Alexandria via LeMat-Bulk.

DOS at the Fermi energy, states/eV per atom: 0.05
Final energy, eV/atom: -4.496
Spin magnetization, Bohr magnetons per cell: 5.0
SG: P4/mmm, No. 123

Lattice parameters (Å, degrees): 4.2988 4.2988 4.4079 90.00 90.00 90.00
Atoms (fractional coordinates):
Tc (0.5000, 0.5000, 0.5000)
Cd (0.0000, 0.0000, 0.0000)
F (0.0000, 0.5000, 0.0000)
F (0.5000, 0.0000, 0.0000)
O (0.0000, 0.0000, 0.5000)